Record 1
The following is a DFT calculation (GGA-PBE) of an optimized crystal structure of MgReAg.

Structure (POSCAR):
```
MgReAg
1.0
-5.6651 1.9938 4.1325
-5.3568 -0.6597 4.6796
1.1444 1.3576 2.0696
Ag Mg Re
1 1 1
Direct
0.9987 0.9987 0.0013 Ag
0.3309 0.3309 0.6691 Mg
0.6704 0.6704 0.3296 Re
```

Computed properties:
Formation energy in meV per atom: 328
Magnetization in μB/atom: 0.0000
Calculated total energy in eV/atom: -5.30
Energy relative to the lowest polymorph listed for this composition in meV/atom: 0



Record 2
The following is a DFT calculation (GGA-PBE) of an optimized crystal structure of MgReAg2.

Structure (POSCAR):
```
MgReAg2
1.0
-0.9410 -2.4425 0.8331
2.1158 0.5964 1.6472
-5.7919 4.2447 5.9029
Ag Mg Re
2 1 1
Direct
0.0000 0.0000 0.9958 Ag
0.5000 0.5000 0.2546 Ag
0.0000 0.0000 0.5055 Mg
0.5000 0.5000 0.7440 Re
```

Computed properties:
Formation energy in meV per atom: 284
Magnetization in μB/atom: 0.0000
Calculated total energy in eV/atom: -4.65



Record 3
The following is a DFT calculation (GGA-PBE) of an optimized crystal structure of MgReAg2.

Structure (POSCAR):
```
MgReAg2
1.0
4.0318 0.0000 0.0000
0.0000 4.0884 0.0000
0.0000 0.0000 4.0884
Ag Mg Re
2 1 1
Direct
0.0000 0.0000 0.0000 Ag
0.0000 0.5000 0.5000 Ag
0.5000 0.5000 0.0000 Mg
0.5000 0.0000 0.5000 Re
```

Computed properties:
Formation energy in meV per atom: 578
Magnetization in μB/atom: 0.0000
Calculated total energy in eV/atom: -4.36



Record 4
The following is a DFT calculation (GGA-PBE) of an optimized crystal structure of Mg2ReAg.

Structure (POSCAR):
```
Mg2ReAg
1.0
-4.3230 -0.7717 -2.5814
3.9173 -0.5914 -3.2021
0.1063 -2.6976 0.6283
Ag Mg Re
1 2 1
Direct
0.0000 0.5000 0.5000 Ag
0.0000 0.0000 0.0000 Mg
0.5000 0.5000 0.0000 Mg
0.5000 0.0000 0.5000 Re
```

Computed properties:
Formation energy in meV per atom: 234
Magnetization in μB/atom: 0.0000
Calculated total energy in eV/atom: -4.39
Energy relative to the lowest polymorph listed for this composition in meV/atom: 105



Record 5
The following is a DFT calculation (GGA-PBE) of an optimized crystal structure of MgRe2AgRu.

Structure (POSCAR):
```
MgRe2AgRu
1.0
-2.7490 -0.0523 -3.6472
-3.3117 -1.4068 2.5163
-1.1985 4.3263 0.8414
Re Mg Ag Ru
2 1 1 1
Direct
0.0000 0.0000 0.5000 Re
0.5000 0.0000 0.0000 Re
0.0000 0.0000 0.0000 Mg
0.0000 0.5000 0.0000 Ag
0.5000 0.5000 0.5000 Ru
```

Computed properties:
Formation energy in meV per atom: 2384
Magnetization in μB/atom: 0.6603
Calculated total energy in eV/atom: -5.34



Record 6
The following is a DFT calculation (GGA-PBE) of an optimized crystal structure of MgZn2ReAg.

Structure (POSCAR):
```
MgZn2ReAg
1.0
-4.3924 -0.0901 -1.4263
-0.9973 -3.1437 3.2698
-1.0289 3.3988 2.9538
Re Zn Mg Ag
1 2 1 1
Direct
0.5000 0.5000 0.5000 Re
0.0000 0.0000 0.5000 Zn
0.5000 0.0000 0.0000 Zn
0.0000 0.0000 0.0000 Mg
0.0000 0.5000 0.0000 Ag
```

Computed properties:
Formation energy in meV per atom: 1556
Magnetization in μB/atom: 0.5247
Calculated total energy in eV/atom: -2.33



Record 7
The following is a DFT calculation (GGA-PBE) of an optimized crystal structure of Mg2Ag2Rh.

Structure (POSCAR):
```
Mg2Ag2Rh
1.0
3.1596 0.0000 0.0000
0.0000 3.1360 0.5942
0.0000 -0.0598 8.8881
Mg Ag Rh
2 2 1
Direct
0.5000 0.4156 0.1688 Mg
0.5000 0.5844 0.8312 Mg
0.0000 0.1838 0.6324 Ag
0.0000 0.8162 0.3676 Ag
0.0000 0.0000 0.0000 Rh
```

Computed properties:
Formation energy in meV per atom: -263
Magnetization in μB/atom: 0.0000
Calculated total energy in eV/atom: -3.51
Energy relative to the lowest polymorph listed for this composition in meV/atom: 0



Record 8
The following is a DFT calculation (GGA-PBE) of an optimized crystal structure of Mg6Ag2Rh.

Structure (POSCAR):
```
Mg6Ag2Rh
1.0
4.5609 0.0000 -0.1848
0.0000 6.5195 0.0000
-2.0472 -3.2597 6.8200
Mg Ag Rh
6 2 1
Direct
0.1601 0.4006 0.3168 Mg
0.8399 0.0837 0.6832 Mg
0.8399 0.5994 0.6832 Mg
0.5000 0.2259 0.0000 Mg
0.1601 0.9163 0.3168 Mg
0.5000 0.7741 0.0000 Mg
0.6682 0.6665 0.3330 Ag
0.3318 0.3335 0.6670 Ag
0.0000 0.0000 0.0000 Rh
```

Computed properties:
Formation energy in meV per atom: -123
Magnetization in μB/atom: 0.0000
Calculated total energy in eV/atom: -2.64
Energy relative to the lowest polymorph listed for this composition in meV/atom: 91



Record 9
The following is a DFT calculation (GGA-PBE) of an optimized crystal structure of MgAg2Rh.

Structure (POSCAR):
```
MgAg2Rh
1.0
4.8108 0.0000 0.0000
0.0000 2.9037 -0.0130
0.0000 0.3631 4.8579
Ag Mg Rh
2 1 1
Direct
0.0000 0.0011 0.9974 Ag
0.0000 0.4989 0.5026 Ag
0.5000 0.2500 0.2500 Mg
0.5000 0.7500 0.7500 Rh
```

Computed properties:
Formation energy in meV per atom: -22
Magnetization in μB/atom: 0.0281
Calculated total energy in eV/atom: -3.68



Record 10
The following is a DFT calculation (GGA-PBE) of an optimized crystal structure of Mg5AgRh.

Structure (POSCAR):
```
Mg5AgRh
1.0
4.5709 0.0000 0.0000
0.0000 4.5709 0.0000
0.0000 0.0000 6.7261
Mg Ag Rh
5 1 1
Direct
0.0000 0.5000 0.7882 Mg
0.0000 0.5000 0.2118 Mg
0.5000 0.0000 0.7882 Mg
0.5000 0.0000 0.2118 Mg
0.5000 0.5000 0.5000 Mg
0.0000 0.0000 0.5000 Ag
0.5000 0.5000 0.0000 Rh
```

Computed properties:
Formation energy in meV per atom: -228
Magnetization in μB/atom: 0.0000
Calculated total energy in eV/atom: -2.82
Energy relative to the lowest polymorph listed for this composition in meV/atom: 0



Record 11
The following is a DFT calculation (GGA-PBE) of an optimized crystal structure of MgAg2Rh.

Structure (POSCAR):
```
MgAg2Rh
1.0
3.8442 0.0000 0.0000
0.0000 3.8442 0.0000
1.9221 1.9221 9.9029
Mg Rh Ag
2 2 4
Direct
0.5000 0.5000 0.0000 Mg
0.2500 0.7500 0.5000 Mg
0.0000 0.0000 0.0000 Rh
0.7500 0.2500 0.5000 Rh
0.6275 0.1250 0.2500 Ag
0.1225 0.6250 0.2500 Ag
0.3750 0.3725 0.7500 Ag
0.8750 0.8775 0.7500 Ag
```

Computed properties:
Formation energy in meV per atom: 156
Magnetization in μB/atom: 0.0000
Calculated total energy in eV/atom: -3.51



Record 12
The following is a DFT calculation (GGA-PBE) of an optimized crystal structure of Mg6AgRh5.

Structure (POSCAR):
```
Mg6AgRh5
1.0
-0.8442 0.5038 -4.3153
-6.0672 -1.6140 0.9984
-1.9482 6.6347 -1.1139
Mg Rh Ag
6 5 1
Direct
0.8284 0.7444 0.3432 Mg
0.8284 0.2556 0.3432 Mg
0.5000 0.2611 0.0000 Mg
0.5000 0.7389 0.0000 Mg
0.1716 0.7444 0.6568 Mg
0.1716 0.2556 0.6568 Mg
0.6646 0.5000 0.6709 Rh
0.3372 0.0000 0.3256 Rh
0.0000 0.5000 0.0000 Rh
0.6628 0.0000 0.6744 Rh
0.3354 0.5000 0.3291 Rh
0.0000 0.0000 0.0000 Ag
```

Computed properties:
Formation energy in meV per atom: -467
Magnetization in μB/atom: 0.0000
Calculated total energy in eV/atom: -4.56



Record 13
The following is a DFT calculation (GGA-PBE) of an optimized crystal structure of Mg5AgRh.

Structure (POSCAR):
```
Mg5AgRh
1.0
-3.3851 3.2521 1.2835
-3.5023 -0.9797 -3.2336
-4.6948 -7.8345 7.4613
Mg Ag Rh
10 2 2
Direct
0.8609 0.5511 0.1054 Mg
0.1388 0.4488 0.6056 Mg
0.5511 0.8609 0.6054 Mg
0.3383 0.6617 0.2500 Mg
0.5512 0.8612 0.8944 Mg
0.4488 0.1388 0.1056 Mg
0.6617 0.3383 0.7500 Mg
0.4489 0.1391 0.3946 Mg
0.8612 0.5512 0.3944 Mg
0.1391 0.4489 0.8946 Mg
0.9116 0.0884 0.2500 Ag
0.0884 0.9116 0.7500 Ag
0.0000 0.0000 0.0000 Rh
0.0000 0.0000 0.5000 Rh
```

Computed properties:
Formation energy in meV per atom: -158
Magnetization in μB/atom: 0.0000
Calculated total energy in eV/atom: -2.75
Energy relative to the lowest polymorph listed for this composition in meV/atom: 70



Record 14
The following is a DFT calculation (GGA-PBE) of an optimized crystal structure of Mg8Ag2Rh.

Structure (POSCAR):
```
Mg8Ag2Rh
1.0
4.3870 0.0000 -1.3352
-1.1215 6.4882 -3.6850
-0.0771 -0.0721 7.6217
Mg Ag Rh
8 2 1
Direct
0.6489 0.8707 0.2978 Mg
0.3511 0.5729 0.7022 Mg
0.1380 0.1380 0.2759 Mg
0.0000 0.3041 0.0000 Mg
0.8620 0.8620 0.7241 Mg
0.6489 0.4271 0.2978 Mg
0.3511 0.1293 0.7022 Mg
0.0000 0.6959 0.0000 Mg
0.1986 0.6986 0.3972 Ag
0.8014 0.3014 0.6028 Ag
0.5000 0.0000 0.0000 Rh
```

Computed properties:
Formation energy in meV per atom: -206
Magnetization in μB/atom: 0.0000
Calculated total energy in eV/atom: -2.55
Energy relative to the lowest polymorph listed for this composition in meV/atom: 0



Record 15
The following is a DFT calculation (GGA-PBE) of an optimized crystal structure of Mg6AgRh2.

Structure (POSCAR):
```
Mg6AgRh2
1.0
-4.5764 -0.3168 -0.3723
2.7094 -2.0935 -3.0748
0.0915 -7.0949 4.9125
Mg Ag Rh
6 1 2
Direct
0.6667 0.3333 0.9395 Mg
0.3333 0.6667 0.0605 Mg
0.0000 0.0000 0.1931 Mg
0.3333 0.6667 0.4003 Mg
0.0000 0.0000 0.8069 Mg
0.6667 0.3333 0.5997 Mg
0.0000 0.0000 0.5000 Ag
0.3333 0.6667 0.7398 Rh
0.6667 0.3333 0.2602 Rh
```

Computed properties:
Formation energy in meV per atom: -308
Magnetization in μB/atom: 0.0000
Calculated total energy in eV/atom: -3.32



Record 16
The following is a DFT calculation (GGA-PBE) of an optimized crystal structure of Mg4AgRh2.

Structure (POSCAR):
```
Mg4AgRh2
1.0
-1.8035 -3.7956 1.6339
1.5057 -4.0052 -1.4213
4.7227 -2.6419 5.2967
Mg Ag Rh
4 1 2
Direct
0.8679 0.8679 0.3964 Mg
0.1321 0.1321 0.6036 Mg
0.6123 0.6123 0.1630 Mg
0.3877 0.3877 0.8370 Mg
0.0000 0.0000 0.0000 Ag
0.7417 0.7417 0.7750 Rh
0.2583 0.2583 0.2250 Rh
```

Computed properties:
Formation energy in meV per atom: -341
Magnetization in μB/atom: 0.0000
Calculated total energy in eV/atom: -3.76
Energy relative to the lowest polymorph listed for this composition in meV/atom: 0



Record 17
The following is a DFT calculation (GGA-PBE) of an optimized crystal structure of MgAg2Rh.

Structure (POSCAR):
```
MgAg2Rh
1.0
3.2916 0.0000 0.0000
0.0000 3.2914 0.0000
0.0000 0.0000 6.1942
Ag Mg Rh
2 1 1
Direct
0.0000 0.0000 0.9915 Ag
0.5000 0.5000 0.2525 Ag
0.0000 0.0000 0.5229 Mg
0.5000 0.5000 0.7332 Rh
```

Computed properties:
Formation energy in meV per atom: -116
Magnetization in μB/atom: 0.0000
Calculated total energy in eV/atom: -3.78



Record 18
The following is a DFT calculation (GGA-PBE) of an optimized crystal structure of Mg3AgRh.

Structure (POSCAR):
```
Mg3AgRh
1.0
4.8921 0.0000 0.0000
0.0000 4.8921 0.0000
0.0000 0.0000 4.8921
Mg Rh Ag
3 1 1
Direct
0.0000 0.5000 0.0000 Mg
0.0000 0.0000 0.5000 Mg
0.5000 0.0000 0.0000 Mg
0.0000 0.0000 0.0000 Rh
0.5000 0.5000 0.5000 Ag
```

Computed properties:
Formation energy in meV per atom: 63
Magnetization in μB/atom: 0.0000
Calculated total energy in eV/atom: -2.93
Energy relative to the lowest polymorph listed for this composition in meV/atom: 383



Record 19
The following is a DFT calculation (GGA-PBE) of an optimized crystal structure of MgAg2Rh.

Structure (POSCAR):
```
MgAg2Rh
1.0
5.1339 -0.0248 0.1155
4.2010 2.9511 0.1155
1.1326 0.3550 4.4352
Ag Mg Rh
2 1 1
Direct
0.9975 0.9975 0.0034 Ag
0.5025 0.5025 0.4966 Ag
0.7500 0.7500 0.7500 Mg
0.2500 0.2500 0.2500 Rh
```

Computed properties:
Formation energy in meV per atom: -85
Magnetization in μB/atom: 0.0000
Calculated total energy in eV/atom: -3.75



Record 20
The following is a DFT calculation (GGA-PBE) of an optimized crystal structure of Mg2AgRh.

Structure (POSCAR):
```
Mg2AgRh
1.0
3.3841 0.0000 0.0000
0.0000 3.3841 0.0000
0.0000 0.0000 6.0720
Ag Mg Rh
1 2 1
Direct
0.5000 0.5000 0.7504 Ag
0.0000 0.0000 0.9821 Mg
0.5000 0.5000 0.2897 Mg
0.0000 0.0000 0.4778 Rh
```

Computed properties:
Formation energy in meV per atom: -180
Magnetization in μB/atom: 0.0000
Calculated total energy in eV/atom: -3.53